Density functional theory data (GGA-PBE) for a relaxed YHf2MnCd crystal.

Properties
Symmetry = No. 123
Final energy = -28.8 eV for the cell shown

a b c (Å): 5.2451 5.2451 4.7577
angles (deg): 90.00 90.00 90.00
Fractional positions:
Y1 0.0000 0.0000 0.0000
Hf1 0.0000 0.5000 0.0000
Hf2 0.5000 0.0000 0.0000
Mn1 0.0000 0.0000 0.5000
Cd1 0.5000 0.5000 0.5000